[1]
## CaRu2BrF (GGA-PBEsol)

Data for a geometry-optimized CaRu2BrF structure.

a = 4.040 Å, b = 4.040 Å, c = 5.624 Å
α = 90.00°, β = 90.00°, γ = 90.00°
Fractional positions:
Ca1 0.000 0.000 0.000
Ru1 0.000 0.500 0.500
Ru2 0.500 0.000 0.500
Br1 0.500 0.500 0.000
F1 0.500 0.500 0.500

formation energy from raw total energies: 115 meV per atom

[2]
## CaSe2BrF (GGA-PBEsol)

Data for a geometry-optimized CaSe2BrF structure.

a = 4.352 Å, b = 4.352 Å, c = 5.803 Å
α = 90.00°, β = 90.00°, γ = 90.00°
Fractional positions:
Ca1 0.000 0.000 0.000
Se1 0.000 0.500 0.500
Se2 0.500 0.000 0.500
Br1 0.500 0.500 0.000
F1 0.500 0.500 0.500

formation energy from raw total energies: -851 meV per atom

[3]
## Ca3Fe2Br2O5 (GGA-PBEsol)

Data for a geometry-optimized Ca3Fe2Br2O5 structure.

a = 12.815 Å, b = 12.815 Å, c = 12.815 Å
α = 162.95°, β = 162.95°, γ = 24.20°
Fractional positions:
Ca1 0.000 0.000 0.000
Ca2 0.137 0.137 0.000
Ca3 0.863 0.863 0.000
Fe1 0.426 0.426 0.000
Fe2 0.574 0.574 0.000
Br1 0.307 0.307 0.000
Br2 0.693 0.693 0.000
O1 0.081 0.581 0.500
O2 0.419 0.919 0.500
O3 0.500 0.500 0.000
O4 0.581 0.081 0.500
O5 0.919 0.419 0.500

formation energy from raw total energies: -2055 meV per atom

| no. | E_tot (Ry per atom) |
| --- | --- |
| 1 | -0.378 |
| 2 | -0.263 |
| 3 | -0.484 |